Density functional theory data (GGA-PBE) for a geometry-optimized Rh2N2Cl7 structure.

E_tot: -4.301 eV/atom
Formation energy from raw total energies: -275 meV/atom

Geometry as CIF:
```
data_Rh2N2Cl7
_chemical_formula_sum 'Rh4 N4 Cl14'
_cell_length_a 10.9995
_cell_length_b 7.1214
_cell_length_c 8.0634
_cell_angle_alpha 90.00
_cell_angle_beta 93.31
_cell_angle_gamma 90.00
_space_group_name_H-M_alt 'C 1 2/m 1'
_space_group_IT_number 12
_space_group_name_Hall '-C 2y'
loop_
_atom_site_label
_atom_site_fract_x
_atom_site_fract_y
_atom_site_fract_z
Rh1 0.2374 0.0000 0.0136
N1 0.0000 0.0782 0.5000
Cl1 0.0000 0.0000 0.0000
Cl2 0.0721 0.5000 0.8698
Cl3 0.2151 0.2692 0.1842
```